Computed, not measured: EuErLu after structural relaxation at the PBE level of DFT.

## Properties
Formation enthalpy at 0 K, eV per formula unit: 0.24
Relative energy among the computed polymorphs, eV per atom: 0.0040
Uncorrected energy, eV per formula unit: -19.12

POSCAR file:
```
EuErLu
1.0
3.598 0.000 0.000
0.000 3.598 0.000
-1.799 -1.799 7.617
Er Lu Eu
1 1 1
Direct
0.676 0.676 0.352
0.325 0.325 0.649
0.999 0.999 0.999
```

Computed, not measured: Nd2Y5Er2 after structural relaxation at the PBE level of DFT.

## Properties
Formation enthalpy at 0 K, eV per formula unit: 1.40
Relative energy among the computed polymorphs, eV per atom: 0.0000
Uncorrected energy, eV per formula unit: -49.58

POSCAR file:
```
Nd2Y5Er2
1.0
3.486 0.000 0.000
-1.743 11.878 1.172
0.000 4.111 7.651
Y Er Nd
5 2 2
Direct
0.000 0.000 0.000
0.943 0.887 0.445
0.057 0.113 0.555
0.780 0.561 0.791
0.220 0.439 0.209
0.822 0.643 0.326
0.178 0.357 0.674
0.602 0.205 0.128
0.398 0.795 0.872
```

Computed, not measured: NaSrCa2 after structural relaxation at the PBE level of DFT.

## Properties
Formation enthalpy at 0 K, eV per formula unit: 0.93
Relative energy among the computed polymorphs, eV per atom: 0.2002
Uncorrected energy, eV per formula unit: -6.07

POSCAR file:
```
NaSrCa2
1.0
5.175 0.000 0.000
0.000 5.175 0.000
2.588 2.588 13.620
Na Ca Sr
2 4 2
Direct
0.250 0.750 0.500
0.500 0.500 0.000
0.375 0.383 0.750
0.133 0.625 0.250
0.617 0.125 0.250
0.875 0.867 0.750
0.000 0.000 0.000
0.750 0.250 0.500
```

Computed, not measured: BaTa2TiNi after structural relaxation at the PBE level of DFT.

## Properties
Formation enthalpy at 0 K, eV per formula unit: 5.81
Uncorrected energy, eV per formula unit: -33.49

POSCAR file:
```
BaTa2TiNi
1.0
-4.134 2.301 -1.226
-2.086 -1.530 4.162
1.571 4.033 2.270
Ba Ti Ta Ni
1 1 2 1
Direct
0.500 0.500 0.500
0.000 0.000 0.000
0.500 0.000 0.000
0.000 0.000 0.500
0.000 0.500 0.000
```

Computed, not measured: AlZn2H2 after structural relaxation at the PBE level of DFT.

## Properties
Relative energy among the computed polymorphs, eV per atom: 0.0000
Uncorrected energy, eV per formula unit: -11.44

POSCAR file:
```
AlZn2H2
1.0
-1.822 2.154 0.490
0.267 -0.415 2.820
4.358 5.180 1.804
Al H Zn
1 2 2
Direct
0.000 0.000 0.000
0.250 0.750 0.500
0.750 0.250 0.500
0.649 0.649 0.702
0.351 0.351 0.298
```

Computed, not measured: TlCr3As after structural relaxation at the PBE level of DFT.

## Properties
Formation enthalpy at 0 K, eV per formula unit: 3.63
Relative energy among the computed polymorphs, eV per atom: 0.0000
Uncorrected energy, eV per formula unit: -32.25

POSCAR file:
```
TlCr3As
1.0
-0.337 0.960 -4.566
0.028 -4.578 -0.965
-4.666 -0.097 0.324
Cr Tl As
3 1 1
Direct
0.000 0.500 0.000
0.500 0.000 0.000
0.000 0.000 0.500
0.500 0.500 0.500
0.000 0.000 0.000
```

Computed, not measured: Ti6Tl2Ga after structural relaxation at the PBE level of DFT.

## Properties
Formation enthalpy at 0 K, eV per formula unit: -0.32
Uncorrected energy, eV per formula unit: -55.45

POSCAR file:
```
Ti6Tl2Ga
1.0
3.458 0.000 0.000
0.000 7.486 0.000
0.000 -3.743 6.484
Tl Ti Ga
2 6 1
Direct
0.000 0.667 0.333
0.000 0.333 0.667
0.500 0.626 0.000
0.000 0.254 0.000
0.500 0.374 0.374
0.500 0.000 0.626
0.000 0.000 0.254
0.000 0.746 0.746
0.500 0.000 0.000
```

Computed, not measured: ZrAlSi2 after structural relaxation at the PBE level of DFT.

## Properties
Formation energy from raw total energies, meV/atom: 0
Uncorrected energy, eV per formula unit: -23.14

POSCAR file:
```
ZrAlSi2
1.0
3.750 0.000 0.000
-1.875 3.248 0.000
0.000 0.000 6.941
Si Zr Al
2 1 1
Direct
0.333 0.667 0.749
0.667 0.333 0.235
0.000 0.000 0.976
0.667 0.333 0.586
```

Computed, not measured: Y2Ho2Ni15 after structural relaxation at the PBE level of DFT.

## Properties
Formation enthalpy at 0 K, eV per formula unit: -4.55
Uncorrected energy, eV per formula unit: -113.35

POSCAR file:
```
Y2Ho2Ni15
1.0
6.472 0.012 0.011
0.851 6.416 0.011
0.851 0.747 6.372
Ni Y Ho
15 2 2
Direct
0.690 0.310 0.000
0.310 0.690 0.000
0.690 0.000 0.310
0.310 0.000 0.690
0.167 0.652 0.652
0.833 0.348 0.348
0.652 0.167 0.652
0.000 0.000 0.500
0.348 0.833 0.348
0.500 0.000 0.000
0.000 0.690 0.310
0.348 0.348 0.833
0.000 0.500 0.000
0.000 0.310 0.690
0.652 0.652 0.167
0.361 0.361 0.361
0.639 0.639 0.639
0.111 0.111 0.111
0.889 0.889 0.889
```

Computed, not measured: FeCo2Os after structural relaxation at the PBE level of DFT.

## Properties
Formation enthalpy at 0 K, eV per formula unit: 0.61
Relative energy among the computed polymorphs, eV per atom: 0.0588
Uncorrected energy, eV per formula unit: -33.29

POSCAR file:
```
FeCo2Os
1.0
-0.981 -3.422 0.568
2.871 -1.132 -1.864
1.936 -0.054 3.015
Co Os Fe
2 1 1
Direct
0.500 0.500 0.000
0.000 0.000 0.000
0.000 0.500 0.500
0.500 0.000 0.500
```

Computed, not measured: LaDyCuOs after structural relaxation at the PBE level of DFT.

## Properties
Formation enthalpy at 0 K, eV per formula unit: -0.57
Uncorrected energy, eV per formula unit: -25.43

POSCAR file:
```
LaDyCuOs
1.0
4.972 0.000 0.000
2.486 4.306 0.000
2.486 1.435 4.059
Cu Dy Os La
1 1 1 1
Direct
0.750 0.750 0.750
0.000 0.000 0.000
0.250 0.250 0.250
0.500 0.500 0.500
```

Computed, not measured: Ti3ZnIn after structural relaxation at the PBE level of DFT.

## Properties
Formation enthalpy at 0 K, eV per formula unit: 2.31
Relative energy among the computed polymorphs, eV per atom: 0.5702
Uncorrected energy, eV per formula unit: -25.38

POSCAR file:
```
Ti3ZnIn
1.0
-4.580 0.692 -0.724
-0.206 -3.968 -2.489
-0.980 -2.400 3.906
Ti In Zn
3 1 1
Direct
0.500 0.000 0.000
0.000 0.500 0.000
0.000 0.000 0.500
0.500 0.500 0.500
0.000 0.000 0.000
```

Computed, not measured: PrSm2Ho4Er after structural relaxation at the PBE level of DFT.

## Properties
Formation enthalpy at 0 K, eV per formula unit: 0.14
Uncorrected energy, eV per formula unit: -36.95

POSCAR file:
```
PrSm2Ho4Er
1.0
9.217 -0.255 -3.977
0.374 10.107 0.187
-7.395 -4.950 8.531
Ho Sm Er Pr
8 4 2 2
Direct
0.249 0.249 0.001
0.247 0.751 0.000
0.751 0.751 0.999
0.745 0.249 0.497
0.753 0.249 0.000
0.249 0.249 0.497
0.751 0.751 0.503
0.255 0.751 0.503
0.500 0.000 0.500
0.000 0.000 0.500
0.500 0.500 0.000
0.500 0.000 0.000
0.000 0.000 0.000
0.500 0.500 0.500
0.000 0.500 0.000
0.000 0.500 0.500
```

Computed, not measured: PPtBr3 after structural relaxation at the PBE level of DFT.

## Properties
Formation energy from raw total energies, meV/atom: 605
Relative energy among the computed polymorphs, eV per atom: 0.0000
Uncorrected energy, eV per formula unit: -13.45

POSCAR file:
```
PPtBr3
1.0
5.151 0.000 0.000
0.000 5.151 0.000
0.000 0.000 5.151
Br P Pt
3 1 1
Direct
0.000 0.000 0.500
0.000 0.500 0.000
0.500 0.000 0.000
0.500 0.500 0.500
0.000 0.000 0.000
```

Computed, not measured: NaNp2PO8 after structural relaxation at the PBE level of DFT.

## Properties
Formation energy from raw total energies, meV/atom: -2356
Uncorrected energy, eV per formula unit: -100.55

POSCAR file:
```
NaNp2PO8
1.0
4.708 0.054 -0.001
0.099 4.708 -0.003
0.008 0.010 6.688
O Na Np P
8 1 2 1
Direct
0.818 0.181 0.185
0.182 0.819 0.815
0.735 0.735 0.000
0.678 0.678 0.501
0.181 0.818 0.185
0.265 0.265 0.000
0.322 0.322 0.499
0.819 0.182 0.815
0.000 0.000 0.500
0.499 0.499 0.759
0.501 0.501 0.241
0.000 0.000 0.000
```

Computed, not measured: Mg3InPt2 after structural relaxation at the PBE level of DFT.

## Properties
Formation enthalpy at 0 K, eV per formula unit: -3.02
Relative energy among the computed polymorphs, eV per atom: 0.0666
Uncorrected energy, eV per formula unit: -22.62

POSCAR file:
```
Mg3InPt2
1.0
6.013 0.000 0.000
0.000 6.579 0.000
-3.006 -3.290 6.525
Mg Pt In
6 4 2
Direct
0.222 0.972 0.444
0.500 0.250 0.000
0.778 0.028 0.556
0.778 0.528 0.556
0.222 0.472 0.444
0.500 0.750 0.000
0.547 0.359 0.717
0.830 0.141 0.283
0.170 0.859 0.717
0.453 0.641 0.283
0.000 0.000 0.000
0.000 0.500 0.000
```

Computed, not measured: RbScTc3 after structural relaxation at the PBE level of DFT.

## Properties
Formation enthalpy at 0 K, eV per formula unit: 13.68
Relative energy among the computed polymorphs, eV per atom: 0.7424
Uncorrected energy, eV per formula unit: -24.72

POSCAR file:
```
RbScTc3
1.0
-4.455 -0.656 1.256
-1.231 -0.259 -4.503
0.702 -4.621 0.074
Tc Rb Sc
3 1 1
Direct
0.000 0.000 0.500
0.500 0.000 0.000
0.000 0.500 0.000
0.000 0.000 0.000
0.500 0.500 0.500
```

Computed, not measured: K2TiMoH after structural relaxation at the PBE level of DFT.

## Properties
Uncorrected energy, eV per formula unit: -17.33

POSCAR file:
```
K2TiMoH
1.0
-3.405 5.567 -0.684
-2.365 -0.993 3.689
4.419 3.156 3.682
K H Ti Mo
2 1 1 1
Direct
0.000 0.000 0.500
0.500 0.000 0.000
0.500 0.500 0.500
0.000 0.500 0.000
0.000 0.000 0.000
```

Computed, not measured: SrLaRh after structural relaxation at the PBE level of DFT.

## Properties
Formation enthalpy at 0 K, eV per formula unit: -1.16
Relative energy among the computed polymorphs, eV per atom: 0.0619
Uncorrected energy, eV per formula unit: -15.12

POSCAR file:
```
SrLaRh
1.0
7.498 0.032 -0.033
6.591 3.575 0.025
0.907 0.174 3.539
Rh La Sr
1 1 1
Direct
0.349 0.349 0.651
0.950 0.950 0.050
0.702 0.702 0.298
```

Computed, not measured: TlNiHg2 after structural relaxation at the PBE level of DFT.

## Properties
Formation enthalpy at 0 K, eV per formula unit: 1.46
Relative energy among the computed polymorphs, eV per atom: 0.2231
Uncorrected energy, eV per formula unit: -7.29

POSCAR file:
```
TlNiHg2
1.0
-3.945 -0.784 3.660
-3.288 -4.075 -1.471
5.405 0.444 0.408
Ni Tl Hg
1 1 2
Direct
0.250 0.750 0.500
0.750 0.250 0.500
0.500 0.500 0.000
0.000 0.000 0.000
```

no.,calculated density (g/cm3),spin magnetization (μB/f.u.)
1,8.32,7.10
2,5.91,0.00
3,1.74,0.00
4,8.59,0.00
5,4.83,0.00
6,7.06,9.97
7,7.57,0.00
8,3.42,0.00
9,8.72,2.20
10,12.98,3.09
11,10.61,0.00
12,5.22,0.00
13,8.19,0.00
14,5.66,2.04
15,7.35,4.00
16,7.44,0.00
17,6.90,0.01
18,1.91,0.95
19,5.81,0.00
20,13.06,0.00